(1)
## In2Ag2Te3Se (PBE)

Data for a relaxed structure of In2Ag2Te3Se.

abc: 7.7816 7.7816 6.4532
angles: 114.17 114.17 49.08
Element x y z (fractional)
In: 0.1211 0.1211 0.3818
In: 0.8789 0.8789 0.6182
Ag: 0.3595 0.3989 0.1381
Ag: 0.6011 0.6405 0.8619
Te: 0.4907 0.0096 0.2443
Te: 0.7391 0.2609 0.0000
Te: 0.9904 0.5093 0.7557
Se: 0.2385 0.7615 0.5000

Calculated volume = 32.96 Å³/atom
Calculated total energy = -3.3244 eV/atom
Symmetry = No. 5
Calculated density = 5.71 g/cm3



(2)
## ErZnAg (PBE)

Data for a relaxed structure of ErZnAg.

abc: 4.5901 4.5901 4.5901
angles: 60.00 60.00 60.00
Element x y z (fractional)
Er: 0.0000 0.0000 0.0000
Zn: 0.7500 0.7500 0.7500
Ag: 0.5000 0.5000 0.5000

Calculated volume = 22.79 Å³/atom
Spin magnetization = 0.11 μB/cell
Symmetry = No. 216
Calculated density = 8.27 g/cm3
Energy of formation = -7.6 kJ per mole of atoms



(3)
## HgPdNO (PBE)

Data for a relaxed structure of HgPdNO.

abc: 4.0694 4.0694 6.8685
angles: 90.00 90.00 90.00
Element x y z (fractional)
Hg: 0.2500 0.2500 0.1445
Hg: 0.7500 0.7500 0.8555
Pd: 0.2500 0.7500 0.5000
Pd: 0.7500 0.2500 0.5000
N: 0.2500 0.2500 0.5955
N: 0.7500 0.7500 0.4045
O: 0.2500 0.7500 0.0000
O: 0.7500 0.2500 0.0000

Calculated volume = 14.22 Å³/atom
ΔE to the lowest computed polymorph = 267 meV/atom
Symmetry = No. 129
Calculated density = 9.84 g/cm3



(4)
## CoOs2 (PBE)

Data for a relaxed structure of CoOs2.

abc: 7.2895 7.2895 7.2895
angles: 60.00 60.00 60.00
Element x y z (fractional)
Co: 0.1250 0.1250 0.1250
Co: 0.8750 0.8750 0.8750
Os: 0.0000 0.0000 0.0000
Os: 0.0000 0.0000 0.5000
Os: 0.0000 0.5000 0.0000
Os: 0.5000 0.0000 0.0000

Calculated volume = 45.65 Å³/atom
ΔE to the lowest computed polymorph = 3092 meV/atom
Spin magnetization = 11.45 μB/cell
Symmetry = No. 227
Calculated density = 5.33 g/cm3
Energy of formation = 379.1 kJ per mole of atoms



(5)
## NaGdNiTe3 (PBE)

Data for a relaxed structure of NaGdNiTe3.

abc: 8.9279 4.2316 9.8899
angles: 90.00 105.45 90.00
Element x y z (fractional)
Na: 0.2075 0.2500 0.2538
Na: 0.7925 0.7500 0.7462
Gd: 0.3191 0.7500 0.8531
Gd: 0.6809 0.2500 0.1469
Ni: 0.0947 0.2500 0.6061
Ni: 0.9053 0.7500 0.3939
Te: 0.0709 0.2500 0.8570
Te: 0.1921 0.7500 0.5213
Te: 0.4390 0.7500 0.1759
Te: 0.5611 0.2500 0.8241
Te: 0.8079 0.2500 0.4787
Te: 0.9291 0.7500 0.1430

Calculated volume = 30.01 Å³/atom
ΔE to the lowest computed polymorph = 0 meV/atom
Spin magnetization = 0.00 μB/cell
Symmetry = No. 11
Calculated density = 5.73 g/cm3



(6)
## ZnCoIrPt (PBE)

Data for a relaxed structure of ZnCoIrPt.

abc: 4.2953 4.2953 4.2953
angles: 60.00 60.00 60.00
Element x y z (fractional)
Zn: 0.0000 0.0000 0.0000
Co: 0.2500 0.2500 0.2500
Ir: 0.7500 0.7500 0.7500
Pt: 0.5000 0.5000 0.5000

Calculated volume = 14.01 Å³/atom
ΔE to the lowest computed polymorph = 0 meV/atom
Spin magnetization = 1.95 μB/cell
Symmetry = No. 216
Calculated density = 15.16 g/cm3
Energy of formation = 8.4 kJ per mole of atoms



(7)
## GdAlZn (PBE)

Data for a relaxed structure of GdAlZn.

abc: 4.4948 4.4948 7.2502
angles: 90.00 90.00 120.00
Element x y z (fractional)
Gd: 0.0000 0.0000 0.0000
Gd: 0.0000 0.0000 0.5000
Al: 0.3333 0.6667 0.2260
Al: 0.6667 0.3333 0.7260
Zn: 0.3333 0.6667 0.7898
Zn: 0.6667 0.3333 0.2898

Calculated volume = 21.14 Å³/atom
Spin magnetization = 0.00 μB/cell
Calculated total energy = -3.6893 eV/atom
Symmetry = No. 186
Calculated density = 6.54 g/cm3



(8)
## U2IrN5 (PBE)

Data for a relaxed structure of U2IrN5.

abc: 4.1093 4.1093 7.2393
angles: 90.00 90.00 90.00
Element x y z (fractional)
U: 0.0000 0.0000 0.2357
U: 0.0000 0.0000 0.7643
Ir: 0.5000 0.5000 0.5000
N: 0.0000 0.0000 0.5000
N: 0.0000 0.5000 0.3028
N: 0.0000 0.5000 0.6972
N: 0.5000 0.0000 0.3028
N: 0.5000 0.0000 0.6972

Calculated volume = 15.28 Å³/atom
Spin magnetization = 0.12 μB/cell
Calculated total energy = -8.8408 eV/atom
Symmetry = No. 123
Calculated density = 10.03 g/cm3



(9)
## RbAgSbAu (PBE)

Data for a relaxed structure of RbAgSbAu.

abc: 5.2793 5.2793 5.2793
angles: 60.00 60.00 60.00
Element x y z (fractional)
Rb: 0.0000 0.0000 0.0000
Ag: 0.2500 0.2500 0.2500
Sb: 0.5000 0.5000 0.5000
Au: 0.7500 0.7500 0.7500

Calculated volume = 26.01 Å³/atom
ΔE to the lowest computed polymorph = 0 meV/atom
Symmetry = No. 216
Calculated density = 8.17 g/cm3



(10)
## Ta3H2 (PBE)

Data for a relaxed structure of Ta3H2.

abc: 2.9120 4.8173 4.8662
angles: 60.35 89.10 89.88
Element x y z (fractional)
Ta: 0.0000 0.0000 0.0000
Ta: 0.3269 0.3255 0.3489
Ta: 0.6731 0.6745 0.6511
H: 0.4993 0.2613 0.9994
H: 0.5007 0.7387 0.0006

Calculated volume = 11.86 Å³/atom
Spin magnetization = 0.00 μB/cell
Calculated total energy = -8.6219 eV/atom
Symmetry = No. 2
Calculated density = 15.25 g/cm3



(11)
## CsPrScSe3 (PBE)

Data for a relaxed structure of CsPrScSe3.

abc: 8.3396 8.3396 11.5598
angles: 90.00 90.00 149.21
Element x y z (fractional)
Cs: 0.2358 0.7642 0.7500
Cs: 0.7642 0.2358 0.2500
Pr: 0.5000 0.5000 0.0000
Pr: 0.5000 0.5000 0.5000
Sc: 0.0375 0.9625 0.2500
Sc: 0.9625 0.0375 0.7500
Se: 0.1227 0.8773 0.0621
Se: 0.1227 0.8773 0.4379
Se: 0.4481 0.5519 0.2500
Se: 0.5519 0.4481 0.7500
Se: 0.8773 0.1227 0.5621
Se: 0.8773 0.1227 0.9379

Calculated volume = 34.29 Å³/atom
Spin magnetization = 0.03 μB/cell
Calculated total energy = -5.3466 eV/atom
Symmetry = No. 63
Calculated density = 4.48 g/cm3



(12)
## GdHoCo2Si2B (PBE)

Data for a relaxed structure of GdHoCo2Si2B.

abc: 5.6500 5.6500 6.8460
angles: 127.22 127.22 41.25
Element x y z (fractional)
Gd: 0.0000 0.0000 0.0000
Ho: 0.8716 0.8716 0.3509
Co: 0.2264 0.2264 0.8514
Co: 0.6423 0.6423 0.4958
Si: 0.2753 0.2753 0.5667
Si: 0.5953 0.5953 0.7815
B: 0.4332 0.4332 0.1754

Calculated volume = 15.71 Å³/atom
Spin magnetization = 0.00 μB/cell
Calculated total energy = -6.5680 eV/atom
Symmetry = No. 8
Calculated density = 7.66 g/cm3



Copy entry 8 word for word.
## U2IrN5 (PBE)

Data for a relaxed structure of U2IrN5.

abc: 4.1093 4.1093 7.2393
angles: 90.00 90.00 90.00
Element x y z (fractional)
U: 0.0000 0.0000 0.2357
U: 0.0000 0.0000 0.7643
Ir: 0.5000 0.5000 0.5000
N: 0.0000 0.0000 0.5000
N: 0.0000 0.5000 0.3028
N: 0.0000 0.5000 0.6972
N: 0.5000 0.0000 0.3028
N: 0.5000 0.0000 0.6972

Calculated volume = 15.28 Å³/atom
Spin magnetization = 0.12 μB/cell
Calculated total energy = -8.8408 eV/atom
Symmetry = No. 123
Calculated density = 10.03 g/cm3



Among the records above, which one has the lowest calculated density?
CsPrScSe3



The highest calculated density belongs to which entry?
Ta3H2